This record from Alexandria describes a crystal of HfCuAu3 relaxed with PBEsol. The functional is SCAN.

a = 4.6048 Å, b = 4.6048 Å, c = 4.6048 Å
α = 90.00°, β = 90.00°, γ = 90.00°
Closest atoms and distances in Å follow each position.
Element x y z (fractional)
Hf1 0.5000 0.5000 0.5000  12 Au 3.26
Au1 0.0000 0.5000 0.0000  2 Cu 2.30
Au2 0.0000 0.0000 0.5000  2 Cu 2.30
Au3 0.5000 0.0000 0.0000  2 Cu 2.30
Cu1 0.0000 0.0000 0.0000  6 Au 2.30

Results
For the density of states at the Fermi level, the calculation gives 5.1 states/eV/f.u. For the formation energy, the calculation gives 0.427 eV per atom. Its magnetization is 0.0 μB per formula unit. The raw total energy comes out at -283.2 eV for the cell shown.